A relaxed structure of Co17Bi. Source: the Open Quantum Materials Database, functional PBE.

Cell: 4.930 4.930 31.238 Å, 90.00 90.00 120.00°
Last column: magnetic moment on the atom in μB.
Fractional coordinates of all 36 atoms:
Co 0.833 0.666 0.757  1.60
Co 0.166 0.333 0.629  1.66
Co 0.167 0.333 0.435  1.65
Co 0.666 0.833 0.243  -0.51
Co 0.498 0.996 0.694  1.69
Co 0.834 0.667 0.371  1.64
Co 0.333 0.667 0.369  1.68
Co 0.167 0.334 0.243  -0.50
Co 0.833 0.167 0.565  1.66
Co 0.502 0.004 0.306  1.66
Co 0.000 0.000 0.694  1.56
Co 0.667 0.834 0.629  1.66
Co 0.000 0.500 0.500  1.64
Co 0.502 0.498 0.306  1.66
Co 0.333 0.166 0.371  1.64
Co 0.167 0.833 0.435  1.65
Co 0.004 0.502 0.694  1.69
Co 0.000 0.000 0.500  1.63
Co 0.166 0.834 0.629  1.66
Co 0.834 0.166 0.371  1.64
Co 0.167 0.833 0.243  -0.50
Co 0.667 0.333 0.631  1.63
Co 0.498 0.502 0.694  1.69
Co 0.500 0.500 0.500  1.64
Co 0.667 0.333 0.435  1.62
Co 0.000 0.000 0.306  1.36
Co 0.500 0.000 0.500  1.64
Co 0.667 0.833 0.435  1.66
Co 0.333 0.167 0.565  1.65
Co 0.996 0.498 0.306  1.66
Co 0.833 0.667 0.565  1.66
Co 0.833 0.167 0.757  1.60
Co 0.334 0.167 0.757  1.60
Co 0.333 0.667 0.565  1.60
Bi 0.667 0.333 0.204  0.04
Bi 0.333 0.667 0.796  -0.04

Computed properties:
- Symmetry: P-3m1
- Energy above the lowest structure with this stoichiometry: 28 meV/atom

---

A relaxed structure of CoBi3. Source: the Open Quantum Materials Database, functional PBE.

Cell: 5.778 5.778 5.778 Å, 131.52 131.52 70.99°
Last column: magnetic moment on the atom in μB.
Fractional coordinates of all 4 atoms:
Bi 0.750 0.250 0.500  -0.01
Bi 0.250 0.750 0.500  -0.01
Bi 0.500 0.500 0.000  -0.01
Co 0.000 0.000 0.000  1.66

Computed properties:
- Symmetry: I4/mmm
- Energy above the lowest structure with this stoichiometry: 561 meV/atom

---

A relaxed structure of CoBi3. Source: the Open Quantum Materials Database, functional PBE.

Cell: 4.739 4.739 4.739 Å, 90.00 90.00 90.00°
Fractional coordinates of all 4 atoms:
Bi 0.500 0.500 0.000
Bi 0.000 0.500 0.500
Bi 0.500 0.000 0.500
Co 0.000 0.000 0.000

Computed properties:
- Symmetry: Pm-3m
- Energy above the lowest structure with this stoichiometry: 570 meV/atom

---

A relaxed structure of Co7Bi2. Source: the Open Quantum Materials Database, functional PBE.

Cell: 2.932 2.932 19.553 Å, 90.00 90.00 120.00°
Last column: magnetic moment on the atom in μB.
Fractional coordinates of all 9 atoms:
Co 0.000 0.000 0.235  1.54
Co 0.333 0.667 0.411  1.87
Co 0.000 0.000 0.765  1.54
Co 0.000 0.000 0.500  1.86
Co 0.333 0.667 0.678  1.91
Co 0.667 0.333 0.589  1.87
Co 0.667 0.333 0.322  1.91
Bi 0.333 0.667 0.120  -0.01
Bi 0.667 0.333 0.880  -0.01

Computed properties:
- Uncorrected energy: -5.78 eV per atom
- Symmetry: P-3m1

---

A relaxed structure of Co9Bi2. Source: the Open Quantum Materials Database, functional PBE.

Cell: 2.810 2.810 32.087 Å, 90.00 90.00 120.00°
Fractional coordinates of all 11 atoms:
Co 0.667 0.333 0.726
Co 0.000 0.000 0.500
Co 0.000 0.000 0.670
Co 0.333 0.667 0.443
Co 0.333 0.667 0.274
Co 0.667 0.333 0.557
Co 0.333 0.667 0.613
Co 0.000 0.000 0.330
Co 0.667 0.333 0.387
Bi 0.667 0.333 0.204
Bi 0.333 0.667 0.796

Computed properties:
- Uncorrected energy: -5.61 eV per atom
- Symmetry: P-3m1

---

A relaxed structure of CoBi3. Source: the Open Quantum Materials Database, functional PBE.

Cell: 5.304 5.304 5.304 Å, 60.00 60.00 60.00°
Last column: magnetic moment on the atom in μB.
Fractional coordinates of all 4 atoms:
Co 0.750 0.750 0.750  1.68
Bi 0.250 0.250 0.250  0.03
Bi 0.500 0.500 0.500  -0.03
Bi 0.000 0.000 0.000  -0.03

Computed properties:
- Symmetry: Fm-3m
- Energy above the lowest structure with this stoichiometry: 618 meV/atom

---

A relaxed structure of CoBi3. Source: the Open Quantum Materials Database, functional PBE.

Cell: 8.879 4.097 11.662 Å, 90.00 90.00 90.00°
Fractional coordinates of all 16 atoms:
Bi 0.619 0.250 0.592
Bi 0.411 0.750 0.826
Bi 0.589 0.250 0.174
Bi 0.911 0.750 0.674
Bi 0.089 0.250 0.326
Bi 0.300 0.750 0.105
Bi 0.200 0.250 0.605
Bi 0.119 0.250 0.908
Bi 0.800 0.750 0.395
Bi 0.881 0.750 0.092
Bi 0.700 0.250 0.895
Bi 0.381 0.750 0.408
Co 0.091 0.750 0.479
Co 0.909 0.250 0.521
Co 0.409 0.250 0.979
Co 0.591 0.750 0.021

Computed properties:
- Symmetry: Pnma
- Energy above the lowest structure with this stoichiometry: 0 meV/atom

---

A relaxed structure of Co2CuBi. Source: the Open Quantum Materials Database, functional PBE.

Cell: 4.322 4.322 4.322 Å, 60.00 60.00 60.00°
Fractional coordinates of all 4 atoms:
Co 0.500 0.500 0.500
Co 0.750 0.750 0.750
Bi 0.250 0.250 0.250
Cu 0.000 0.000 0.000

Computed properties:
- Uncorrected energy: -4.94 eV per atom
- Symmetry: F-43m

---

Number 1: total magnetization 48.55 μB/cell. Number 2: total magnetization 1.56 μB/cell. Number 3: total magnetization 1.39 μB/cell. Number 4: total magnetization 12.27 μB/cell. Number 5: total magnetization 0.02 μB/cell. Number 6: total magnetization 0.00 μB/cell. Number 7: total magnetization 0.02 μB/cell. Number 8: total magnetization 0.01 μB/cell.